Sr2SmSbO6: single point on PBEsol structure, meta-GGA SCAN.

The value obtained for the formation energy from raw total energies is -274.13 kJ per mole of atoms. For the uncorrected energy, the calculation gives -768.21 eV per cell. The calculation puts the spin magnetization at 0.00 μB per formula unit.

CIF file:
```
data_Sr2SmSbO6
_chemical_formula_sum 'Sr8 Sm4 Sb4 O24'
_symmetry_space_group_name_H-M 'F m -3 m'
_symmetry_Int_Tables_number 225
_symmetry_space_group_name_Hall '-F 4 2 3'
_cell_length_a 8.4108
_cell_length_b 8.4108
_cell_length_c 8.4108
_cell_angle_alpha 90.00
_cell_angle_beta 90.00
_cell_angle_gamma 90.00
loop_
_atom_site_label
_atom_site_fract_x
_atom_site_fract_y
_atom_site_fract_z
_atom_site_occupancy
Sr1 0.2500 0.2500 0.2500 1
Sm1 0.0000 0.0000 0.0000 1
Sb1 0.0000 0.0000 0.5000 1
O1 0.0000 0.0000 0.2650 1
```



SnSbO2: single point on PBEsol structure, meta-GGA SCAN.

The value obtained for the formation energy from raw total energies is -46.70 kJ per mole of atoms. As for the relative energy among the computed polymorphs: 0 kJ/mol of formula units. For the uncorrected energy, the calculation gives -350.32 eV per cell. The calculation puts the spin magnetization at 0.00 μB per formula unit.

CIF file:
```
data_SnSbO2
_chemical_formula_sum 'Sn4 Sb4 O8'
_symmetry_space_group_name_H-M 'I -4 2 d'
_symmetry_Int_Tables_number 122
_symmetry_space_group_name_Hall 'I -4 2bw'
_cell_length_a 5.3084
_cell_length_b 5.3084
_cell_length_c 11.0867
_cell_angle_alpha 90.00
_cell_angle_beta 90.00
_cell_angle_gamma 90.00
loop_
_atom_site_label
_atom_site_fract_x
_atom_site_fract_y
_atom_site_fract_z
_atom_site_occupancy
Sn1 0.0000 0.0000 0.0000 1
Sb1 0.0000 0.0000 0.5000 1
O1 0.2196 0.2500 0.6250 1
```



SnSbO2: single point on PBEsol structure, meta-GGA SCAN.

The value obtained for the formation energy from raw total energies is -13.96 kJ per mole of atoms. As for the relative energy among the computed polymorphs: 131 kJ/mol of formula units. For the uncorrected energy, the calculation gives -344.89 eV per cell. The calculation puts the spin magnetization at 0.00 μB per formula unit.

CIF file:
```
data_SnSbO2
_chemical_formula_sum 'Sn4 Sb4 O8'
_symmetry_space_group_name_H-M 'F m -3 m'
_symmetry_Int_Tables_number 225
_symmetry_space_group_name_Hall '-F 4 2 3'
_cell_length_a 6.1410
_cell_length_b 6.1410
_cell_length_c 6.1410
_cell_angle_alpha 90.00
_cell_angle_beta 90.00
_cell_angle_gamma 90.00
loop_
_atom_site_label
_atom_site_fract_x
_atom_site_fract_y
_atom_site_fract_z
_atom_site_occupancy
Sn1 0.0000 0.0000 0.0000 1
Sb1 0.0000 0.0000 0.5000 1
O1 0.2500 0.2500 0.2500 1
```